Model a:
# PBE SrAl2Tc, optimized geometry
# N(E_F) = 0.6235 states/eV/atom
data_SrAl2Tc
_chemical_formula_sum 'Sr1 Al2 Tc1'
_symmetry_space_group_name_H-M 'P m m 2'
_symmetry_Int_Tables_number 25
_symmetry_space_group_name_Hall 'P 2 -2'
_cell_length_a 3.5537
_cell_length_b 3.5939
_cell_length_c 7.1465
_cell_angle_alpha 90.00
_cell_angle_beta 90.00
_cell_angle_gamma 90.00
loop_
_atom_site_label
_atom_site_type_symbol
_atom_site_fract_x
_atom_site_fract_y
_atom_site_fract_z
Sr1 Sr 0.0000 0.0000 0.0000
Al1 Al 0.5000 0.0000 0.5986
Al2 Al 0.5000 0.5000 0.3050
Tc1 Tc 0.0000 0.5000 0.5659



Model b:
# PBE SrAl2Tc, optimized geometry
# N(E_F) = 0.6453 states/eV/atom
data_SrAl2Tc
_chemical_formula_sum 'Sr2 Al4 Tc2'
_symmetry_space_group_name_H-M 'C 1 m 1'
_symmetry_Int_Tables_number 8
_symmetry_space_group_name_Hall 'C -2y'
_cell_length_a 8.7397
_cell_length_b 2.9203
_cell_length_c 6.7478
_cell_angle_alpha 90.00
_cell_angle_beta 96.23
_cell_angle_gamma 90.00
loop_
_atom_site_label
_atom_site_type_symbol
_atom_site_fract_x
_atom_site_fract_y
_atom_site_fract_z
Sr1 Sr 0.0000 0.0000 0.0000
Al1 Al 0.0001 0.5000 0.5373
Al2 Al 0.2555 0.5000 0.3446
Tc1 Tc 0.2376 0.0000 0.6699



Relative energies in meV/atom: model a 0; model b 184



Model a:
# PBE SrAl2Tc, optimized geometry
# N(E_F) = 0.7129 states/eV/atom
data_SrAl2Tc
_chemical_formula_sum 'Sr3 Al6 Tc3'
_symmetry_space_group_name_H-M 'R -3 m'
_symmetry_Int_Tables_number 166
_symmetry_space_group_name_Hall '-R 3 2"'
_cell_length_a 3.5982
_cell_length_b 3.5982
_cell_length_c 24.1078
_cell_angle_alpha 90.00
_cell_angle_beta 90.00
_cell_angle_gamma 120.00
loop_
_atom_site_label
_atom_site_type_symbol
_atom_site_fract_x
_atom_site_fract_y
_atom_site_fract_z
Sr1 Sr 0.0000 0.0000 0.0000
Al1 Al 0.0000 0.0000 0.2272
Tc1 Tc 0.0000 0.0000 0.5000



Model b:
# PBE SrAl2Tc, optimized geometry
# N(E_F) = 0.6354 states/eV/atom
data_SrAl2Tc
_chemical_formula_sum 'Sr2 Al4 Tc2'
_symmetry_space_group_name_H-M 'I m m 2'
_symmetry_Int_Tables_number 44
_symmetry_space_group_name_Hall 'I 2 -2'
_cell_length_a 2.9314
_cell_length_b 5.1871
_cell_length_c 10.4887
_cell_angle_alpha 90.00
_cell_angle_beta 90.00
_cell_angle_gamma 90.00
loop_
_atom_site_label
_atom_site_type_symbol
_atom_site_fract_x
_atom_site_fract_y
_atom_site_fract_z
Sr1 Sr 0.0000 0.0000 0.0000
Al1 Al 0.0000 0.0000 0.4692
Al2 Al 0.0000 0.5000 0.2104
Tc1 Tc 0.0000 0.5000 0.7698



Relative energies in meV/atom: model a 0; model b 153



Model a:
# PBE SrAl2Tc, optimized geometry
# N(E_F) = 0.9980 states/eV/atom
data_SrAl2Tc
_chemical_formula_sum 'Sr1 Al2 Tc1'
_symmetry_space_group_name_H-M 'P m m m'
_symmetry_Int_Tables_number 47
_symmetry_space_group_name_Hall '-P 2 2'
_cell_length_a 3.2799
_cell_length_b 3.2972
_cell_length_c 7.4837
_cell_angle_alpha 90.00
_cell_angle_beta 90.00
_cell_angle_gamma 90.00
loop_
_atom_site_label
_atom_site_type_symbol
_atom_site_fract_x
_atom_site_fract_y
_atom_site_fract_z
Sr1 Sr 0.0000 0.0000 0.0000
Al1 Al 0.5000 0.5000 0.3276
Tc1 Tc 0.0000 0.0000 0.5000



Model b:
# PBE SrAl2Tc, optimized geometry
# N(E_F) = 0.8386 states/eV/atom
data_SrAl2Tc
_chemical_formula_sum 'Sr2 Al4 Tc2'
_symmetry_space_group_name_H-M 'I 4/m m m'
_symmetry_Int_Tables_number 139
_symmetry_space_group_name_Hall '-I 4 2'
_cell_length_a 4.4726
_cell_length_b 4.4726
_cell_length_c 7.7416
_cell_angle_alpha 90.00
_cell_angle_beta 90.00
_cell_angle_gamma 90.00
loop_
_atom_site_label
_atom_site_type_symbol
_atom_site_fract_x
_atom_site_fract_y
_atom_site_fract_z
Sr1 Sr 0.0000 0.0000 0.0000
Al1 Al 0.0000 0.5000 0.2500
Tc1 Tc 0.0000 0.0000 0.5000



Model c:
# PBE SrAl2Tc, optimized geometry
# N(E_F) = 0.8471 states/eV/atom
data_SrAl2Tc
_chemical_formula_sum 'Sr1 Al2 Tc1'
_symmetry_space_group_name_H-M 'P m m m'
_symmetry_Int_Tables_number 47
_symmetry_space_group_name_Hall '-P 2 2'
_cell_length_a 4.3385
_cell_length_b 4.3490
_cell_length_c 4.3615
_cell_angle_alpha 90.00
_cell_angle_beta 90.00
_cell_angle_gamma 90.00
loop_
_atom_site_label
_atom_site_type_symbol
_atom_site_fract_x
_atom_site_fract_y
_atom_site_fract_z
Sr1 Sr 0.0000 0.0000 0.0000
Al1 Al 0.5000 0.0000 0.5000
Al2 Al 0.5000 0.5000 0.0000
Tc1 Tc 0.0000 0.5000 0.5000



Relative energies in meV/atom: model a 0; model b 396; model c 626



Model a:
# PBE SrAlTc3, optimized geometry
# N(E_F) = 1.5594 states/eV/atom
data_SrAlTc3
_chemical_formula_sum 'Sr1 Al1 Tc3'
_symmetry_space_group_name_H-M 'P m -3 m'
_symmetry_Int_Tables_number 221
_symmetry_space_group_name_Hall '-P 4 2 3'
_cell_length_a 4.7929
_cell_length_b 4.7929
_cell_length_c 4.7929
_cell_angle_alpha 90.00
_cell_angle_beta 90.00
_cell_angle_gamma 90.00
loop_
_atom_site_label
_atom_site_type_symbol
_atom_site_fract_x
_atom_site_fract_y
_atom_site_fract_z
Sr1 Sr 0.0000 0.0000 0.0000
Al1 Al 0.5000 0.5000 0.5000
Tc1 Tc 0.0000 0.0000 0.5000



Model b:
# PBE SrAlTc3, optimized geometry
# N(E_F) = 1.4149 states/eV/atom
data_SrAlTc3
_chemical_formula_sum 'Sr1 Al1 Tc3'
_symmetry_space_group_name_H-M 'P m -3 m'
_symmetry_Int_Tables_number 221
_symmetry_space_group_name_Hall '-P 4 2 3'
_cell_length_a 4.7007
_cell_length_b 4.7007
_cell_length_c 4.7007
_cell_angle_alpha 90.00
_cell_angle_beta 90.00
_cell_angle_gamma 90.00
loop_
_atom_site_label
_atom_site_type_symbol
_atom_site_fract_x
_atom_site_fract_y
_atom_site_fract_z
Sr1 Sr 0.0000 0.0000 0.0000
Al1 Al 0.5000 0.5000 0.5000
Tc1 Tc 0.0000 0.5000 0.5000



Relative energies in meV/atom: model a 1656; model b 0



Model a:
# PBE SrAl2Te2, optimized geometry
# N(E_F) = 0.4214 states/eV/atom
data_SrAl2Te2
_chemical_formula_sum 'Sr2 Al4 Te4'
_symmetry_space_group_name_H-M 'I 4/m m m'
_symmetry_Int_Tables_number 139
_symmetry_space_group_name_Hall '-I 4 2'
_cell_length_a 4.0342
_cell_length_b 4.0342
_cell_length_c 17.4918
_cell_angle_alpha 90.00
_cell_angle_beta 90.00
_cell_angle_gamma 90.00
loop_
_atom_site_label
_atom_site_type_symbol
_atom_site_fract_x
_atom_site_fract_y
_atom_site_fract_z
Sr1 Sr 0.0000 0.0000 0.0000
Al1 Al 0.0000 0.5000 0.2500
Te1 Te 0.0000 0.0000 0.3925



Model b:
# PBE SrAl2Te2, optimized geometry
# N(E_F) = 0.4009 states/eV/atom
data_SrAl2Te2
_chemical_formula_sum 'Sr2 Al4 Te4'
_symmetry_space_group_name_H-M 'I 4/m m m'
_symmetry_Int_Tables_number 139
_symmetry_space_group_name_Hall '-I 4 2'
_cell_length_a 5.6120
_cell_length_b 5.6120
_cell_length_c 9.0606
_cell_angle_alpha 90.00
_cell_angle_beta 90.00
_cell_angle_gamma 90.00
loop_
_atom_site_label
_atom_site_type_symbol
_atom_site_fract_x
_atom_site_fract_y
_atom_site_fract_z
Sr1 Sr 0.0000 0.0000 0.0000
Al1 Al 0.0000 0.0000 0.3536
Te1 Te 0.0000 0.5000 0.2500



Relative energies in meV/atom: model a 55; model b 0



Model a:
# PBE SrTi2Al2, optimized geometry
# N(E_F) = 1.1095 states/eV/atom
data_SrTi2Al2
_chemical_formula_sum 'Sr2 Ti4 Al4'
_symmetry_space_group_name_H-M 'P 4/m b m'
_symmetry_Int_Tables_number 127
_symmetry_space_group_name_Hall '-P 4 2ab'
_cell_length_a 8.1358
_cell_length_b 8.1358
_cell_length_c 3.1060
_cell_angle_alpha 90.00
_cell_angle_beta 90.00
_cell_angle_gamma 90.00
loop_
_atom_site_label
_atom_site_type_symbol
_atom_site_fract_x
_atom_site_fract_y
_atom_site_fract_z
Sr1 Sr 0.0000 0.0000 0.0000
Ti1 Ti 0.1692 0.3308 0.5000
Al1 Al 0.1210 0.6210 0.0000



Model b:
# PBE SrTi2Al2, optimized geometry
# N(E_F) = 0.6538 states/eV/atom
data_SrTi2Al2
_chemical_formula_sum 'Sr2 Ti4 Al4'
_symmetry_space_group_name_H-M 'P 4/m b m'
_symmetry_Int_Tables_number 127
_symmetry_space_group_name_Hall '-P 4 2ab'
_cell_length_a 8.3921
_cell_length_b 8.3921
_cell_length_c 2.9254
_cell_angle_alpha 90.00
_cell_angle_beta 90.00
_cell_angle_gamma 90.00
loop_
_atom_site_label
_atom_site_type_symbol
_atom_site_fract_x
_atom_site_fract_y
_atom_site_fract_z
Sr1 Sr 0.0000 0.0000 0.0000
Ti1 Ti 0.1123 0.3877 0.0000
Al1 Al 0.1762 0.6762 0.5000



Relative energies in meV/atom: model a 130; model b 0



Model a:
# PBE Sr4AlTl, optimized geometry
# N(E_F) = 1.4593 states/eV/atom
data_Sr4AlTl
_chemical_formula_sum 'Sr16 Al4 Tl4'
_symmetry_space_group_name_H-M 'C 1 2/c 1'
_symmetry_Int_Tables_number 15
_symmetry_space_group_name_Hall '-C 2yc'
_cell_length_a 10.5186
_cell_length_b 15.4646
_cell_length_c 7.2819
_cell_angle_alpha 90.00
_cell_angle_beta 121.69
_cell_angle_gamma 90.00
loop_
_atom_site_label
_atom_site_type_symbol
_atom_site_fract_x
_atom_site_fract_y
_atom_site_fract_z
Sr1 Sr 0.1215 0.1752 0.0854
Sr2 Sr 0.2009 0.4408 0.2735
Al1 Al 0.0000 0.0044 0.2500
Tl1 Tl 0.0000 0.3622 0.7500



Model b:
# PBE Sr4AlTl, optimized geometry
# N(E_F) = 1.3872 states/eV/atom
data_Sr4AlTl
_chemical_formula_sum 'Sr16 Al4 Tl4'
_symmetry_space_group_name_H-M 'F -4 3 m'
_symmetry_Int_Tables_number 216
_symmetry_space_group_name_Hall 'F -4 2 3'
_cell_length_a 10.0959
_cell_length_b 10.0959
_cell_length_c 10.0959
_cell_angle_alpha 90.00
_cell_angle_beta 90.00
_cell_angle_gamma 90.00
loop_
_atom_site_label
_atom_site_type_symbol
_atom_site_fract_x
_atom_site_fract_y
_atom_site_fract_z
Sr1 Sr 0.1253 0.1253 0.1253
Al1 Al 0.0000 0.0000 0.5000
Tl1 Tl 0.2500 0.2500 0.7500



Relative energies in meV/atom: model a 0; model b 624



Model a:
# PBE SrAl2Tl2, optimized geometry
# N(E_F) = 0.5044 states/eV/atom
data_SrAl2Tl2
_chemical_formula_sum 'Sr2 Al4 Tl4'
_symmetry_space_group_name_H-M 'P 4/m b m'
_symmetry_Int_Tables_number 127
_symmetry_space_group_name_Hall '-P 4 2ab'
_cell_length_a 8.3565
_cell_length_b 8.3565
_cell_length_c 3.8502
_cell_angle_alpha 90.00
_cell_angle_beta 90.00
_cell_angle_gamma 90.00
loop_
_atom_site_label
_atom_site_type_symbol
_atom_site_fract_x
_atom_site_fract_y
_atom_site_fract_z
Sr1 Sr 0.0000 0.0000 0.0000
Al1 Al 0.1151 0.3849 0.0000
Tl1 Tl 0.1752 0.6752 0.5000



Model b:
# PBE SrAl2Tl2, optimized geometry
# N(E_F) = 0.6301 states/eV/atom
data_SrAl2Tl2
_chemical_formula_sum 'Sr2 Al4 Tl4'
_symmetry_space_group_name_H-M 'P 4/m b m'
_symmetry_Int_Tables_number 127
_symmetry_space_group_name_Hall '-P 4 2ab'
_cell_length_a 8.5924
_cell_length_b 8.5924
_cell_length_c 3.6765
_cell_angle_alpha 90.00
_cell_angle_beta 90.00
_cell_angle_gamma 90.00
loop_
_atom_site_label
_atom_site_type_symbol
_atom_site_fract_x
_atom_site_fract_y
_atom_site_fract_z
Sr1 Sr 0.0000 0.0000 0.0000
Al1 Al 0.1573 0.3427 0.5000
Tl1 Tl 0.1371 0.6371 0.0000



Model c:
# PBE SrAl2Tl2, optimized geometry
# N(E_F) = 0.4727 states/eV/atom
data_SrAl2Tl2
_chemical_formula_sum 'Sr2 Al4 Tl4'
_symmetry_space_group_name_H-M 'I 4/m m m'
_symmetry_Int_Tables_number 139
_symmetry_space_group_name_Hall '-I 4 2'
_cell_length_a 4.6033
_cell_length_b 4.6033
_cell_length_c 12.7032
_cell_angle_alpha 90.00
_cell_angle_beta 90.00
_cell_angle_gamma 90.00
loop_
_atom_site_label
_atom_site_type_symbol
_atom_site_fract_x
_atom_site_fract_y
_atom_site_fract_z
Sr1 Sr 0.0000 0.0000 0.0000
Al1 Al 0.0000 0.5000 0.2500
Tl1 Tl 0.0000 0.0000 0.3815



Model d:
# PBE SrAl2Tl2, optimized geometry
# N(E_F) = 0.3263 states/eV/atom
data_SrAl2Tl2
_chemical_formula_sum 'Sr2 Al4 Tl4'
_symmetry_space_group_name_H-M 'I 4/m m m'
_symmetry_Int_Tables_number 139
_symmetry_space_group_name_Hall '-I 4 2'
_cell_length_a 4.9376
_cell_length_b 4.9376
_cell_length_c 11.1444
_cell_angle_alpha 90.00
_cell_angle_beta 90.00
_cell_angle_gamma 90.00
loop_
_atom_site_label
_atom_site_type_symbol
_atom_site_fract_x
_atom_site_fract_y
_atom_site_fract_z
Sr1 Sr 0.0000 0.0000 0.0000
Al1 Al 0.0000 0.0000 0.3845
Tl1 Tl 0.0000 0.5000 0.2500



Relative energies in meV/atom: model a 136; model b 199; model c 56; model d 0



Model a:
# PBE SrAl3Tl, optimized geometry
# N(E_F) = 0.9136 states/eV/atom
data_SrAl3Tl
_chemical_formula_sum 'Sr1 Al3 Tl1'
_symmetry_space_group_name_H-M 'P m -3 m'
_symmetry_Int_Tables_number 221
_symmetry_space_group_name_Hall '-P 4 2 3'
_cell_length_a 5.9593
_cell_length_b 5.9593
_cell_length_c 5.9593
_cell_angle_alpha 90.00
_cell_angle_beta 90.00
_cell_angle_gamma 90.00
loop_
_atom_site_label
_atom_site_type_symbol
_atom_site_fract_x
_atom_site_fract_y
_atom_site_fract_z
Sr1 Sr 0.0000 0.0000 0.0000
Al1 Al 0.0000 0.0000 0.5000
Tl1 Tl 0.5000 0.5000 0.5000



Model b:
# PBE SrAl3Tl, optimized geometry
# N(E_F) = 0.7630 states/eV/atom
data_SrAl3Tl
_chemical_formula_sum 'Sr1 Al3 Tl1'
_symmetry_space_group_name_H-M 'P m -3 m'
_symmetry_Int_Tables_number 221
_symmetry_space_group_name_Hall '-P 4 2 3'
_cell_length_a 5.3900
_cell_length_b 5.3900
_cell_length_c 5.3900
_cell_angle_alpha 90.00
_cell_angle_beta 90.00
_cell_angle_gamma 90.00
loop_
_atom_site_label
_atom_site_type_symbol
_atom_site_fract_x
_atom_site_fract_y
_atom_site_fract_z
Sr1 Sr 0.0000 0.0000 0.0000
Al1 Al 0.0000 0.5000 0.5000
Tl1 Tl 0.5000 0.5000 0.5000



Relative energies in meV/atom: model a 631; model b 0



Model a:
# PBE SrTmAl, optimized geometry
# N(E_F) = 0.6809 states/eV/atom
data_SrTmAl
_chemical_formula_sum 'Sr2 Tm2 Al2'
_symmetry_space_group_name_H-M 'P 4/n m m'
_symmetry_Int_Tables_number 129
_cell_length_a 4.9725
_cell_length_b 4.9725
_cell_length_c 8.0082
_cell_angle_alpha 90.00
_cell_angle_beta 90.00
_cell_angle_gamma 90.00
loop_
_symmetry_equiv_pos_as_xyz
'x,y,z'
'-x,-y,-z'
'-y+1/2,x,z'
'y+1/2,-x,-z'
'-x+1/2,-y+1/2,z'
'x+1/2,y+1/2,-z'
'y,-x+1/2,z'
'-y,x+1/2,-z'
'x+1/2,-y,-z'
'-x+1/2,y,z'
'-y,-x,-z'
'y,x,z'
'-x,y+1/2,-z'
'x,-y+1/2,z'
'y+1/2,x+1/2,-z'
'-y+1/2,-x+1/2,z'
loop_
_atom_site_label
_atom_site_type_symbol
_atom_site_fract_x
_atom_site_fract_y
_atom_site_fract_z
Sr1 Sr 0.2500 0.2500 0.1444
Tm1 Tm 0.2500 0.7500 0.5000
Al1 Al 0.2500 0.2500 0.7203



Model b:
# PBE SrTmAl, optimized geometry
# N(E_F) = 0.9796 states/eV/atom
data_SrTmAl
_chemical_formula_sum 'Sr2 Tm2 Al2'
_symmetry_space_group_name_H-M 'I 4 m m'
_symmetry_Int_Tables_number 107
_symmetry_space_group_name_Hall 'I 4 -2'
_cell_length_a 3.7289
_cell_length_b 3.7289
_cell_length_c 13.4299
_cell_angle_alpha 90.00
_cell_angle_beta 90.00
_cell_angle_gamma 90.00
loop_
_atom_site_label
_atom_site_type_symbol
_atom_site_fract_x
_atom_site_fract_y
_atom_site_fract_z
Sr1 Sr 0.0000 0.0000 0.0000
Tm1 Tm 0.0000 0.0000 0.2770
Al1 Al 0.0000 0.0000 0.6645



Relative energies in meV/atom: model a 0; model b 64



Model a:
# PBE Sr2AlW2, optimized geometry
# N(E_F) = 1.1281 states/eV/atom
data_Sr2AlW2
_chemical_formula_sum 'Sr4 Al2 W4'
_symmetry_space_group_name_H-M 'I 4/m m m'
_symmetry_Int_Tables_number 139
_symmetry_space_group_name_Hall '-I 4 2'
_cell_length_a 3.6166
_cell_length_b 3.6166
_cell_length_c 21.5167
_cell_angle_alpha 90.00
_cell_angle_beta 90.00
_cell_angle_gamma 90.00
loop_
_atom_site_label
_atom_site_type_symbol
_atom_site_fract_x
_atom_site_fract_y
_atom_site_fract_z
Sr1 Sr 0.0000 0.0000 0.1097
Al1 Al 0.0000 0.0000 0.5000
W1 W 0.0000 0.5000 0.2500



Model b:
# PBE Sr2AlW2, optimized geometry
# N(E_F) = 1.2454 states/eV/atom
data_Sr2AlW2
_chemical_formula_sum 'Sr4 Al2 W4'
_symmetry_space_group_name_H-M 'P 4/m b m'
_symmetry_Int_Tables_number 127
_symmetry_space_group_name_Hall '-P 4 2ab'
_cell_length_a 9.4639
_cell_length_b 9.4639
_cell_length_c 3.1035
_cell_angle_alpha 90.00
_cell_angle_beta 90.00
_cell_angle_gamma 90.00
loop_
_atom_site_label
_atom_site_type_symbol
_atom_site_fract_x
_atom_site_fract_y
_atom_site_fract_z
Sr1 Sr 0.2029 0.2971 0.0000
Al1 Al 0.0000 0.0000 0.0000
W1 W 0.0842 0.5842 0.5000



Relative energies in meV/atom: model a 0; model b 523